(1)
The following is a DFT calculation (PBE) of crystalline Mg2CdAu at its relaxed geometry.

Output
SG: P2/m, No. 10
Relative energy among the computed polymorphs: 0.000 eV/atom
DFT formation energy: -0.3665 eV/atom
Energy: -2.21 eV per atom

a = 3.5321 Å, b = 3.3324 Å, c = 7.5037 Å
α = 62.96°, β = 90.00°, γ = 90.00°
Closest atoms and distances in Å follow each position.
Element x y z (fractional)
Cd 0.5000 0.7500 0.7500  8 Mg 3.02-3.04, 2 Cd 3.33, 2 Au 3.34
Au 0.5000 0.2500 0.2500  8 Mg 2.86-2.88
Mg 0.0000 0.9798 0.0214  4 Au 2.86-2.88, 4 Cd 3.02-3.04, 1 Mg 3.06
Mg 0.0000 0.5202 0.4786  4 Au 2.86-2.88, 4 Cd 3.02-3.04, 1 Mg 3.06

=====

(2)
The following is a DFT calculation (PBE) of crystalline MgCd3Au2 at its relaxed geometry.

Output
SG: Pmc2_1, No. 26
DFT formation energy: -0.2528 eV/atom
Energy: -2.07 eV per atom

a = 4.2554 Å, b = 6.6655 Å, c = 8.8768 Å
α = 90.00°, β = 90.00°, γ = 90.00°
Closest atoms and distances in Å follow each position.
Element x y z (fractional)
Cd 0.5000 0.6570 0.1927  4 Au 2.85-2.95, 4 Cd 3.06-3.13
Cd 0.5000 0.1570 0.8073  4 Au 2.85-2.95, 4 Cd 3.06-3.13
Cd 0.0000 0.4410 0.9348  5 Au 2.89-3.07, 2 Cd 3.06
Cd 0.0000 0.8485 0.6924  4 Au 2.75-2.94
Cd 0.0000 0.3485 0.3076  4 Au 2.75-2.94
Cd 0.0000 0.9410 0.0652  5 Au 2.89-3.07, 2 Cd 3.06
Au 0.0000 0.2766 0.6131  5 Cd 2.75-3.06, 4 Mg 2.85-3.04
Au 0.5000 0.2234 0.1240  8 Cd 2.81-3.07, 1 Mg 2.99
Au 0.0000 0.7766 0.3869  5 Cd 2.75-3.06, 4 Mg 2.85-3.04
Au 0.5000 0.7234 0.8760  8 Cd 2.81-3.07, 1 Mg 2.99
Mg 0.5000 0.5535 0.5646  5 Au 2.85-3.04, 2 Cd 3.11
Mg 0.5000 0.0535 0.4354  5 Au 2.85-3.04, 2 Cd 3.11

=====

(3)
The following is a DFT calculation (PBE) of crystalline Mg2Cd3Au3 at its relaxed geometry.

Output
SG: Pmmm, No. 47
DFT formation energy: -0.3091 eV/atom
Energy: -2.28 eV per atom

a = 4.3757 Å, b = 4.4402 Å, c = 7.9709 Å
α = 90.00°, β = 90.00°, γ = 90.00°
Closest atoms and distances in Å follow each position.
Element x y z (fractional)
Au 0.0000 0.5000 0.5000  4 Mg 2.90, 4 Cd 2.93, 4 Au 3.12
Au 0.5000 0.0000 0.5000  4 Mg 2.88, 4 Cd 2.95, 4 Au 3.12
Au 0.5000 0.0000 0.0000  8 Cd 3.02-3.12, 4 Mg 3.04
Cd 0.5000 0.5000 0.2563  6 Au 2.93-3.02, 2 Cd 2.99, 4 Mg 3.12
Cd 0.5000 0.5000 0.7437  6 Au 2.93-3.02, 2 Cd 2.99, 4 Mg 3.12
Cd 0.0000 0.5000 0.0000  4 Cd 2.99, 4 Mg 3.07, 4 Au 3.12
Mg 0.0000 0.0000 0.2651  6 Au 2.88-3.04, 6 Cd 3.07-3.12
Mg 0.0000 0.0000 0.7349  6 Au 2.88-3.04, 6 Cd 3.07-3.12

=====

(4)
The following is a DFT calculation (PBE) of crystalline Mg2CdAu at its relaxed geometry.

Output
SG: Fm-3m, No. 225
Relative energy among the computed polymorphs: 0.010 eV/atom
DFT formation energy: -0.3566 eV/atom
Energy: -2.20 eV per atom

a = 4.7843 Å, b = 4.7843 Å, c = 4.7843 Å
α = 60.00°, β = 60.00°, γ = 60.00°
Closest atoms and distances in Å follow each position.
Element x y z (fractional)
Cd 0.0000 0.0000 0.0000  8 Mg 2.93
Au 0.5000 0.5000 0.5000  8 Mg 2.93
Mg 0.7500 0.7500 0.7500  4 Cd 2.93, 4 Au 2.93
Mg 0.2500 0.2500 0.2500  4 Au 2.93, 4 Cd 2.93

=====

(5)
The following is a DFT calculation (PBE) of crystalline MgCd2Au at its relaxed geometry.

Output
SG: R-3m, No. 166
DFT formation energy: -0.0566 eV/atom
Energy: -1.73 eV per atom

a = 10.0459 Å, b = 10.0459 Å, c = 10.0459 Å
α = 17.84°, β = 17.84°, γ = 17.84°
Closest atoms and distances in Å follow each position.
Element x y z (fractional)
Mg 0.2500 0.2500 0.2500  6 Mg 3.11, 6 Cd 3.15
Cd 0.0037 0.0037 0.0037  3 Au 2.97, 6 Cd 3.11, 3 Mg 3.15
Cd 0.4963 0.4963 0.4963  3 Au 2.97, 6 Cd 3.11, 3 Mg 3.15
Au 0.7500 0.7500 0.7500  6 Cd 2.97, 6 Au 3.11

=====

(6)
The following is a DFT calculation (PBE) of crystalline MgCdAu3 at its relaxed geometry.

Output
SG: Pm-3m, No. 221
Relative energy among the computed polymorphs: 0.776 eV/atom
DFT formation energy: 0.4379 eV/atom
Energy: -2.03 eV per atom

a = 5.1561 Å, b = 5.1561 Å, c = 5.1561 Å
α = 90.00°, β = 90.00°, γ = 90.00°
Closest atoms and distances in Å follow each position.
Element x y z (fractional)
Au 0.0000 0.5000 0.0000  2 Cd 2.58
Au 0.5000 0.0000 0.0000  2 Cd 2.58
Au 0.0000 0.0000 0.5000  2 Cd 2.58
Mg 0.5000 0.5000 0.5000  12 Au 3.65
Cd 0.0000 0.0000 0.0000  6 Au 2.58

=====

(7)
The following is a DFT calculation (PBE) of crystalline MgCd2Au at its relaxed geometry.

Output
SG: P2_1/m, No. 11
DFT formation energy: -0.2460 eV/atom
Energy: -1.92 eV per atom

a = 3.7944 Å, b = 5.3555 Å, c = 8.9851 Å
α = 90.00°, β = 90.00°, γ = 110.03°
Closest atoms and distances in Å follow each position.
Element x y z (fractional)
Au 0.7551 0.5123 0.7500  3 Mg 2.80-2.95, 6 Cd 2.86-2.90
Au 0.2449 0.4877 0.2500  3 Mg 2.80-2.95, 6 Cd 2.86-2.90
Cd 0.3613 0.7284 0.5437  3 Cd 2.84-3.09, 3 Au 2.86-2.90
Cd 0.3613 0.7284 0.9563  3 Cd 2.84-3.09, 3 Au 2.86-2.90
Cd 0.6387 0.2716 0.4563  3 Cd 2.84-3.09, 3 Au 2.86-2.90
Cd 0.6387 0.2716 0.0437  3 Cd 2.84-3.09, 3 Au 2.86-2.90
Mg 0.9487 0.9006 0.2500  3 Au 2.80-2.95
Mg 0.0513 0.0994 0.7500  3 Au 2.80-2.95

=====

(8)
The following is a DFT calculation (PBE) of crystalline Mg5CdAu3 at its relaxed geometry.

Output
SG: P6_3/mcm, No. 193
DFT formation energy: -0.4548 eV/atom
Energy: -2.53 eV per atom

a = 5.8316 Å, b = 8.2706 Å, c = 8.2696 Å
α = 120.00°, β = 90.00°, γ = 90.00°
Closest atoms and distances in Å follow each position.
Element x y z (fractional)
Au 0.2500 0.3506 0.0000  5 Mg 2.71-2.93
Au 0.2500 0.6494 0.6494  5 Mg 2.71-2.93
Au 0.7500 0.0000 0.6494  5 Mg 2.71-2.93
Au 0.2500 0.0000 0.3506  5 Mg 2.71-2.93
Au 0.7500 0.6494 0.0000  5 Mg 2.71-2.93
Au 0.7500 0.3506 0.3506  5 Mg 2.71-2.93
Mg 0.2500 0.0000 0.6777  5 Au 2.71-2.93
Mg 0.5000 0.6667 0.3333  8 Mg 2.92-3.16, 6 Au 3.06
Mg 0.7500 0.0000 0.3223  5 Au 2.71-2.93
Mg 0.5000 0.3333 0.6667  8 Mg 2.92-3.16, 6 Au 3.06
Mg 0.0000 0.3333 0.6667  8 Mg 2.92-3.16, 6 Au 3.06
Mg 0.7500 0.3223 0.0000  5 Au 2.71-2.93
Mg 0.7500 0.6777 0.6777  5 Au 2.71-2.93
Mg 0.2500 0.3223 0.3223  5 Au 2.71-2.93
Mg 0.2500 0.6777 0.0000  5 Au 2.71-2.93
Mg 0.0000 0.6667 0.3333  8 Mg 2.92-3.16, 6 Au 3.06
Cd 0.0000 0.0000 0.0000  2 Cd 2.92, 6 Mg 3.04, 6 Au 3.24-3.25
Cd 0.5000 0.0000 0.0000  2 Cd 2.92, 6 Mg 3.04, 6 Au 3.24-3.25

=====

(9)
The following is a DFT calculation (PBE) of crystalline Mg5Cd4Au at its relaxed geometry.

Output
SG: P4/mmm, No. 123
DFT formation energy: -0.1995 eV/atom
Energy: -1.69 eV per atom

a = 3.3232 Å, b = 3.3232 Å, c = 18.9917 Å
α = 90.00°, β = 90.00°, γ = 90.00°
Closest atoms and distances in Å follow each position.
Element x y z (fractional)
Mg 0.5000 0.5000 0.7084  8 Cd 3.06-3.07, 4 Mg 3.32
Mg 0.5000 0.5000 0.5000  8 Cd 3.07, 4 Mg 3.32
Mg 0.5000 0.5000 0.9166  4 Au 2.83, 4 Cd 3.08, 1 Mg 3.17
Mg 0.5000 0.5000 0.0834  4 Au 2.83, 4 Cd 3.08, 1 Mg 3.17
Mg 0.5000 0.5000 0.2916  8 Cd 3.06-3.07, 4 Mg 3.32
Cd 0.0000 0.0000 0.3957  8 Mg 3.07, 4 Cd 3.32
Cd 0.0000 0.0000 0.1884  8 Mg 3.06-3.08, 4 Cd 3.32
Cd 0.0000 0.0000 0.8116  8 Mg 3.06-3.08, 4 Cd 3.32
Cd 0.0000 0.0000 0.6043  8 Mg 3.07, 4 Cd 3.32
Au 0.0000 0.0000 0.0000  8 Mg 2.83

=====

(10)
The following is a DFT calculation (PBE) of crystalline MgCdAu3 at its relaxed geometry.

Output
SG: P1, No. 1
Relative energy among the computed polymorphs: 0.000 eV/atom
DFT formation energy: -0.3385 eV/atom
Energy: -2.81 eV per atom

a = 4.1028 Å, b = 5.0661 Å, c = 5.3116 Å
α = 79.88°, β = 66.79°, γ = 65.86°
Closest atoms and distances in Å follow each position.
Element x y z (fractional)
Cd 0.0054 0.9796 0.0291  9 Au 2.89-3.02, 3 Mg 3.01-3.13
Au 0.6169 0.5747 0.2050  3 Cd 2.89-2.91, 6 Au 2.91-3.06, 3 Mg 2.94-3.00
Au 0.4184 0.3750 0.8061  3 Mg 2.82-3.09, 5 Au 2.91-3.06, 3 Cd 2.94-3.02
Au 0.2150 0.1489 0.4411  3 Mg 2.88-2.89, 5 Au 2.91-3.06, 3 Cd 2.96-3.00
Mg 0.8337 0.7428 0.6082  9 Au 2.82-3.09, 3 Cd 3.01-3.13

=====

(11)
The following is a DFT calculation (PBE) of crystalline Mg2Cd2Au at its relaxed geometry.

Output
SG: P4/mbm, No. 127
Relative energy among the computed polymorphs: 0.133 eV/atom
DFT formation energy: -0.1045 eV/atom
Energy: -1.76 eV per atom

a = 7.3407 Å, b = 7.3407 Å, c = 4.0062 Å
α = 90.00°, β = 90.00°, γ = 90.00°
Closest atoms and distances in Å follow each position.
Element x y z (fractional)
Cd 0.3613 0.8613 0.0000  2 Au 2.84, 6 Mg 2.86-3.00, 1 Cd 2.88
Cd 0.1387 0.3613 0.0000  2 Au 2.84, 6 Mg 2.86-3.00, 1 Cd 2.88
Cd 0.8613 0.6387 0.0000  2 Au 2.84, 6 Mg 2.86-3.00, 1 Cd 2.88
Cd 0.6387 0.1387 0.0000  2 Au 2.84, 6 Mg 2.86-3.00, 1 Cd 2.88
Mg 0.6650 0.8350 0.5000  6 Cd 2.86-3.00
Mg 0.3350 0.1650 0.5000  6 Cd 2.86-3.00
Mg 0.1650 0.6650 0.5000  6 Cd 2.86-3.00
Mg 0.8350 0.3350 0.5000  6 Cd 2.86-3.00
Au 0.0000 0.0000 0.0000  4 Cd 2.84
Au 0.5000 0.5000 0.0000  4 Cd 2.84

=====

(12)
The following is a DFT calculation (PBE) of crystalline Mg3Cd2Au2 at its relaxed geometry.

Output
SG: Cmmm, No. 65
DFT formation energy: -0.3694 eV/atom
Energy: -2.25 eV per atom

a = 3.2484 Å, b = 3.3314 Å, c = 13.2494 Å
α = 90.00°, β = 82.96°, γ = 90.00°
Closest atoms and distances in Å follow each position.
Element x y z (fractional)
Mg 0.1245 0.0000 0.7510  4 Au 2.83, 4 Cd 3.10
Mg 0.0000 0.0000 0.0000  8 Au 2.86
Mg 0.8755 0.0000 0.2490  4 Au 2.83, 4 Cd 3.10
Au 0.4366 0.5000 0.1267  8 Mg 2.83-2.86
Au 0.5634 0.5000 0.8733  8 Mg 2.83-2.86
Cd 0.2976 0.5000 0.4048  6 Cd 2.98-3.33, 4 Mg 3.10
Cd 0.7024 0.5000 0.5952  6 Cd 2.98-3.33, 4 Mg 3.10

=====

Q: Which of these has the highest DFT formation energy?
A: number 6

=====

Q: The highest DFT formation energy belongs to which entry?
A: number 6

=====

Q: What is the energy in the sixth record?
A: -2.03 eV per atom

=====

Q: The lowest energy belongs to which entry?
A: number 10